AsWCl2 | GGA-PBE | optimized geometry

Output
* final energy: -5.213 eV/atom
* distance to the lowest polymorph of the same formula: 362.9 meV per atom
* V: 190 Å³ per cell
* uncorrected formation energy: 0.1112 eV per atom
* D(E_F): 0.0017 states/eV per atom

a b c (Å): 6.7092 6.7092 6.7092
angles (deg): 97.53 97.53 137.55
With the nearest neighbours (Å) after each atom.
Sites, in units of the cell vectors:
1 As 0.0000 0.0000 0.0000  2 W 2.43
2 As 0.7500 0.2500 0.5000  2 W 2.43
3 W 0.2500 0.7500 0.5000  2 As 2.43, 4 Cl 2.50
4 W 0.5000 0.5000 0.0000  2 As 2.43, 4 Cl 2.50
5 Cl 0.2613 0.6250 0.1363  2 W 2.50
6 Cl 0.3750 0.5113 0.6363  2 W 2.50
7 Cl 0.4887 0.1250 0.8637  2 W 2.50
8 Cl 0.8750 0.7387 0.3637  2 W 2.50